Record 1
First-principles (PBE-GGA) data for a relaxed ZrIn2Ge crystal, as listed in Alexandria.

Computed properties:
Space-group type: I-42d
Density, g/cm³: 7.0
DOS(E_F), states/eV per cell: 11.3
V, Å³/cell: 372
Calculated total energy, eV per cell: -73.73
Formation enthalpy at 0 K, eV per atom: 0.053

Unit cell a=8.0440 b=8.0440 c=5.7476 alpha=90.00 beta=90.00 gamma=90.00
Fractional coordinates of all 16 atoms:
Zr (0.0000, 0.0000, 0.0000)
Zr (0.0000, 0.5000, 0.2500)
Zr (0.5000, 0.0000, 0.7500)
Zr (0.5000, 0.5000, 0.5000)
In (0.2229, 0.2500, 0.6250)
In (0.2500, 0.7229, 0.8750)
In (0.2500, 0.7771, 0.3750)
In (0.2771, 0.2500, 0.1250)
In (0.7229, 0.7500, 0.1250)
In (0.7500, 0.2229, 0.3750)
In (0.7500, 0.2771, 0.8750)
In (0.7771, 0.7500, 0.6250)
Ge (0.0000, 0.0000, 0.5000)
Ge (0.0000, 0.5000, 0.7500)
Ge (0.5000, 0.0000, 0.2500)
Ge (0.5000, 0.5000, 0.0000)

Record 2
First-principles (PBE-GGA) data for a relaxed ErPaRh2 crystal, as listed in Alexandria.

Computed properties:
Space-group type: P2_1/m
Density, g/cm³: 11.8
DOS(E_F), states/eV per cell: 6.2
V, Å³/cell: 170
Calculated total energy, eV per cell: -64.63
Formation enthalpy at 0 K, eV per atom: -0.888

Unit cell a=5.9150 b=4.0153 c=7.5964 alpha=90.00 beta=109.66 gamma=90.00
Fractional coordinates of all 8 atoms:
Er (0.2233, 0.2500, 0.4369)
Er (0.7767, 0.7500, 0.5631)
Pa (0.2181, 0.2500, 0.9280)
Pa (0.7819, 0.7500, 0.0720)
Rh (0.2919, 0.7500, 0.1839)
Rh (0.3210, 0.7500, 0.7293)
Rh (0.6790, 0.2500, 0.2707)
Rh (0.7081, 0.2500, 0.8161)

Record 3
First-principles (PBE-GGA) data for a relaxed BeP3O crystal, as listed in Alexandria.

Computed properties:
Space-group type: Pm-3m
Density, g/cm³: 2.8
DOS(E_F), states/eV per cell: 3.7
V, Å³/cell: 71
Calculated total energy, eV per cell: -19.90

Unit cell a=4.1414 b=4.1414 c=4.1414 alpha=90.00 beta=90.00 gamma=90.00
Fractional coordinates of all 5 atoms:
Be (0.0000, 0.0000, 0.0000)
P (0.0000, 0.0000, 0.5000)
P (0.0000, 0.5000, 0.0000)
P (0.5000, 0.0000, 0.0000)
O (0.5000, 0.5000, 0.5000)

Record 4
First-principles (PBE-GGA) data for a relaxed ZrV2ReB crystal, as listed in Alexandria.

Computed properties:
Space-group type: P4/mmm
Density, g/cm³: 8.9
DOS(E_F), states/eV per cell: 4.5
V, Å³/cell: 73
Calculated total energy, eV per cell: -46.09
Formation enthalpy at 0 K, eV per atom: -0.036

Unit cell a=4.1525 b=4.1525 c=4.2365 alpha=90.00 beta=90.00 gamma=90.00
Fractional coordinates of all 5 atoms:
Zr (0.0000, 0.0000, 0.0000)
V (0.0000, 0.5000, 0.5000)
V (0.5000, 0.0000, 0.5000)
Re (0.5000, 0.5000, 0.0000)
B (0.5000, 0.5000, 0.5000)

Record 5
First-principles (PBE-GGA) data for a relaxed CsMgTl6Cd crystal, as listed in Alexandria.

Computed properties:
Space-group type: Imma
Density, g/cm³: 7.5
DOS(E_F), states/eV per cell: 11.0
V, Å³/cell: 663
Calculated total energy, eV per cell: -34.10
Formation enthalpy at 0 K, eV per atom: 0.057

Unit cell a=10.8217 b=10.8217 c=10.8217 alpha=145.28 beta=109.72 gamma=80.83
Fractional coordinates of all 18 atoms:
Cs (0.3948, 0.1448, 0.2500)
Cs (0.6052, 0.8552, 0.7500)
Mg (0.0000, 0.5000, 0.5000)
Mg (0.5000, 0.5000, 0.0000)
Tl (0.1240, 0.4016, 0.2202)
Tl (0.1240, 0.9037, 0.7223)
Tl (0.1709, 0.9209, 0.2500)
Tl (0.2140, 0.4640, 0.7500)
Tl (0.3186, 0.0963, 0.7202)
Tl (0.3186, 0.5984, 0.2223)
Tl (0.6814, 0.4016, 0.7777)
Tl (0.6814, 0.9037, 0.2798)
Tl (0.7860, 0.5360, 0.2500)
Tl (0.8291, 0.0791, 0.7500)
Tl (0.8760, 0.0963, 0.2777)
Tl (0.8760, 0.5984, 0.7798)
Cd (0.0000, 0.0000, 0.5000)
Cd (0.0000, 0.5000, 0.0000)

Record 6
First-principles (PBE-GGA) data for a relaxed TbDy2ErSb4 crystal, as listed in Alexandria.

Computed properties:
Space-group type: P2/m
Density, g/cm³: 7.9
DOS(E_F), states/eV per cell: 1.1
V, Å³/cell: 238
Calculated total energy, eV per cell: -43.90

Unit cell a=7.5851 b=4.3826 c=7.5861 alpha=90.00 beta=109.48 gamma=90.00
Fractional coordinates of all 8 atoms:
Tb (0.0000, 0.0000, 0.0000)
Dy (0.5000, 0.0000, 0.5000)
Dy (0.5000, 0.5000, 0.0000)
Er (0.0000, 0.5000, 0.5000)
Sb (0.2489, 0.0000, 0.7481)
Sb (0.2500, 0.5000, 0.2515)
Sb (0.7500, 0.5000, 0.7485)
Sb (0.7511, 0.0000, 0.2519)

Record 7
First-principles (PBE-GGA) data for a relaxed CaSi2 crystal, as listed in Alexandria.

Computed properties:
Space-group type: I4_1/amd
Density, g/cm³: 2.6
DOS(E_F), states/eV per cell: 4.1
V, Å³/cell: 249
Calculated total energy, eV per cell: -55.76

Unit cell a=4.2872 b=4.2872 c=13.5277 alpha=90.00 beta=90.00 gamma=90.00
Fractional coordinates of all 12 atoms:
Ca (0.0000, 0.2500, 0.3750)
Ca (0.0000, 0.7500, 0.6250)
Ca (0.5000, 0.2500, 0.1250)
Ca (0.5000, 0.7500, 0.8750)
Si (0.0000, 0.2500, 0.7898)
Si (0.0000, 0.2500, 0.9602)
Si (0.0000, 0.7500, 0.0398)
Si (0.0000, 0.7500, 0.2102)
Si (0.5000, 0.2500, 0.5398)
Si (0.5000, 0.2500, 0.7102)
Si (0.5000, 0.7500, 0.2898)
Si (0.5000, 0.7500, 0.4602)

Record 8
First-principles (PBE-GGA) data for a relaxed NpAs2PbO8 crystal, as listed in Alexandria.

Computed properties:
Space-group type: P-3m1
Density, g/cm³: 5.8
DOS(E_F), states/eV per cell: 9.0
V, Å³/cell: 206
Calculated total energy, eV per cell: -85.29

Unit cell a=5.6849 b=5.6849 c=7.3448 alpha=90.00 beta=90.00 gamma=120.00
Fractional coordinates of all 12 atoms:
Np (0.0000, 0.0000, 0.0000)
As (0.3333, 0.6667, 0.7148)
As (0.6667, 0.3333, 0.2852)
Pb (0.0000, 0.0000, 0.5000)
O (0.1691, 0.3382, 0.8014)
O (0.1691, 0.8309, 0.8014)
O (0.3333, 0.6667, 0.4865)
O (0.3382, 0.1691, 0.1986)
O (0.6618, 0.8309, 0.8014)
O (0.6667, 0.3333, 0.5135)
O (0.8309, 0.1691, 0.1986)
O (0.8309, 0.6618, 0.1986)